Entry 1:
DFT (GGA-PBE) results for CdSiTeMoHW after structural relaxation.

Cell: 3.448 3.285 18.223 Å, 90.00 90.00 90.00°
Fractional coordinates of all 12 atoms:
Cd: 0.000 0.000 0.000
Cd: 0.000 0.500 0.500
Si: 0.000 0.000 0.324
Si: 0.000 0.500 0.824
Te: 0.000 0.000 0.648
Te: 0.000 0.500 0.148
Mo: 0.500 0.000 0.228
Mo: 0.500 0.500 0.728
H: 0.500 0.000 0.425
H: 0.500 0.500 0.925
W: 0.500 0.000 0.871
W: 0.500 0.500 0.371

Calculated values
Calculated volume (Å³ per atom): 17.20
Size of the total moment (μB per formula unit): 0.00
Space-group type: Amm2
Polymorph energy (0 for the lowest one) (meV/atom): 20.5

Entry 2:
DFT (GGA-PBE) results for CdSiTeMoHW after structural relaxation.

Cell: 2.990 6.158 6.423 Å, 113.61 103.32 90.19°
Fractional coordinates of all 6 atoms:
Cd: 0.000 0.000 0.000
Si: 0.047 0.491 0.106
Te: 0.248 0.057 0.499
Mo: 0.392 0.537 0.793
H: 0.236 0.465 0.483
W: 0.742 0.673 0.490

Calculated values
Calculated volume (Å³ per atom): 17.48
Size of the total moment (μB per formula unit): 0.00
Space-group type: P1
Polymorph energy (0 for the lowest one) (meV/atom): 307.5

Entry 3:
DFT (GGA-PBE) results for CdSiTeMoHW after structural relaxation.

Cell: 18.433 3.327 3.364 Å, 90.00 90.03 90.00°
Fractional coordinates of all 12 atoms:
Cd: 0.000 0.000 0.000
Cd: 0.500 0.500 0.000
Si: 0.348 0.500 0.000
Si: 0.848 0.000 0.000
Te: 0.163 0.000 0.999
Te: 0.663 0.500 0.999
Mo: 0.246 0.500 0.499
Mo: 0.746 0.000 0.499
H: 0.293 0.000 0.506
H: 0.793 0.500 0.506
W: 0.393 0.000 0.499
W: 0.893 0.500 0.499

Calculated values
Calculated volume (Å³ per atom): 17.20
Size of the total moment (μB per formula unit): 0.00
Space-group type: Cm
Polymorph energy (0 for the lowest one) (meV/atom): 17.3